# 1
Density functional theory data (PBE) for a relaxed structure of ZrZn2Ni.

Cell: 3.7201 3.7201 19.4982 Å, 90.00 90.00 90.00°
With the nearest neighbours (Å) after each atom.
Space group I-42d (No. 122)
Symmetry-distinct sites (fractional):
Zr 0.0000 0.0000 0.0000 [4 per cell]  4 Ni 2.63, 4 Zn 2.80
Zn 0.2266 0.2500 0.6250 [8 per cell]  4 Zn 2.51-2.76, 2 Ni 2.74, 2 Zr 2.80
Ni 0.0000 0.0000 0.5000 [4 per cell]  4 Zr 2.63, 4 Zn 2.74

Energy relative to the elements = 0.04 eV/atom

=====

# 2
Density functional theory data (PBE) for a relaxed structure of Zr2ZnNi.

Cell: 3.9345 3.9345 9.0774 Å, 90.00 90.00 90.00°
With the nearest neighbours (Å) after each atom.
Space group I-4m2 (No. 119)
Symmetry-distinct sites (fractional):
Zr 0.0000 0.0000 0.0000 [2 per cell]  4 Zn 2.78, 4 Zr 3.00, 4 Ni 3.00
Zr 0.0000 0.5000 0.2500 [2 per cell]  4 Ni 2.78, 4 Zr 3.00, 4 Zn 3.00
Zn 0.0000 0.0000 0.5000 [2 per cell]  8 Zr 2.78-3.00, 4 Ni 3.00
Ni 0.0000 0.5000 0.7500 [2 per cell]  8 Zr 2.78-3.00, 4 Zn 3.00

Energy relative to the elements = -0.16 eV/atom

=====

# 3
Density functional theory data (PBE) for a relaxed structure of ZrZn9Ni3.

Cell: 4.9821 12.1624 6.5471 Å, 90.00 111.82 90.00°
With the nearest neighbours (Å) after each atom.
Space group C2/m (No. 12)
Symmetry-distinct sites (fractional):
Zr 0.0000 0.0000 0.0000 [2 per cell]  12 Zn 2.94-3.12, 6 Ni 3.27-3.29
Zn 0.0000 0.5000 0.5000 [2 per cell]  2 Ni 2.49, 8 Zn 2.53-2.69
Zn 0.1092 0.3910 0.2111 [8 per cell]  3 Ni 2.46-2.53, 5 Zn 2.53-2.75
Zn 0.1548 0.1741 0.3354 [8 per cell]  3 Ni 2.54-2.62, 5 Zn 2.65-2.79
Ni 0.0000 0.0000 0.5000 [2 per cell]  10 Zn 2.49-2.62
Ni 0.2500 0.2500 0.0000 [4 per cell]  8 Zn 2.46-2.58, 2 Ni 2.49

Energy relative to the elements = -0.23 eV/atom

=====

# 4
Density functional theory data (PBE) for a relaxed structure of Zr2ZnNi.

Cell: 3.4873 3.4873 22.2797 Å, 90.00 90.00 120.00°
With the nearest neighbours (Å) after each atom.
Space group R-3m (No. 166, hexagonal axes)
Symmetry-distinct sites (fractional):
Zr 0.0000 0.0000 0.2393 [6 per cell]  3 Ni 2.58
Zn 0.0000 0.0000 0.0000 [3 per cell]  6 Zr 2.91
Ni 0.0000 0.0000 0.5000 [3 per cell]  6 Zr 2.58

Energy relative to the elements = -0.06 eV/atom

=====

# 5
Density functional theory data (PBE) for a relaxed structure of ZrZn2Ni.

Cell: 3.7622 3.8409 4.3795 Å, 90.00 90.00 90.00°
With the nearest neighbours (Å) after each atom.
Space group Pmmm (No. 47)
Symmetry-distinct sites (fractional):
Zr 0.0000 0.0000 0.0000 [1 per cell]  4 Ni 2.69, 8 Zn 2.89-2.91
Zn 0.0000 0.5000 0.5000 [1 per cell]  4 Zn 2.69, 4 Ni 2.89, 4 Zr 2.91
Zn 0.5000 0.0000 0.5000 [1 per cell]  4 Zn 2.69, 4 Zr 2.89, 4 Ni 2.91
Ni 0.5000 0.5000 0.0000 [1 per cell]  4 Zr 2.69, 8 Zn 2.89-2.91

Energy relative to the elements = -0.20 eV/atom

=====

# 6
Density functional theory data (PBE) for a relaxed structure of Zr5Zn4Ni.

Cell: 3.3072 3.3072 16.7181 Å, 90.00 90.00 90.00°
With the nearest neighbours (Å) after each atom.
Space group P4/mmm (No. 123)
Symmetry-distinct sites (fractional):
Zr 0.0000 0.0000 0.0000 [1 per cell]  8 Zn 2.89
Zr 0.0000 0.0000 0.2032 [2 per cell]  8 Zn 2.89
Zr 0.0000 0.0000 0.4067 [2 per cell]  4 Ni 2.81, 4 Zn 2.90, 1 Zr 3.12
Zn 0.5000 0.5000 0.1014 [2 per cell]  8 Zr 2.89
Zn 0.5000 0.5000 0.3046 [2 per cell]  8 Zr 2.89-2.90
Ni 0.5000 0.5000 0.5000 [1 per cell]  8 Zr 2.81

Energy relative to the elements = -0.28 eV/atom

=====

# 7
Density functional theory data (PBE) for a relaxed structure of ZrZnNi2.

Cell: 6.1404 6.1404 6.1404 Å, 90.00 90.00 90.00°
With the nearest neighbours (Å) after each atom.
Space group F-43m (No. 216)
Symmetry-distinct sites (fractional):
Zr 0.0000 0.0000 0.0000 [4 per cell]  4 Zn 2.66, 4 Ni 2.66
Zn 0.2500 0.2500 0.2500 [4 per cell]  4 Ni 2.66, 4 Zr 2.66
Ni 0.0000 0.0000 0.5000 [4 per cell]  4 Ni 2.66, 4 Zn 2.66
Ni 0.2500 0.2500 0.7500 [4 per cell]  4 Zr 2.66, 4 Ni 2.66

Energy relative to the elements = -0.19 eV/atom

=====

# 8
Density functional theory data (PBE) for a relaxed structure of Zr6Zn5Ni.

Cell: 4.7073 6.6372 14.1298 Å, 90.00 90.00 90.00°
With the nearest neighbours (Å) after each atom.
Space group Immm (No. 71)
Symmetry-distinct sites (fractional):
Zr 0.0000 0.2436 0.0000 [4 per cell]  2 Ni 2.86, 6 Zn 2.90-2.91
Zr 0.0000 0.2537 0.3363 [8 per cell]  1 Ni 2.83, 7 Zn 2.86-2.90
Zn 0.0000 0.0000 0.1709 [4 per cell]  8 Zr 2.87-2.91
Zn 0.0000 0.0000 0.5000 [2 per cell]  8 Zr 2.86-2.90
Zn 0.0000 0.5000 0.1670 [4 per cell]  8 Zr 2.89-2.91
Ni 0.0000 0.5000 0.5000 [2 per cell]  8 Zr 2.83-2.86

Energy relative to the elements = -0.26 eV/atom

=====

# 9
Density functional theory data (PBE) for a relaxed structure of ZrZnNi3.

Cell: 4.5985 4.5985 4.5985 Å, 90.00 90.00 90.00°
With the nearest neighbours (Å) after each atom.
Space group Pm-3m (No. 221)
Symmetry-distinct sites (fractional):
Zr 0.0000 0.0000 0.0000 [1 per cell]  6 Ni 2.30
Zn 0.5000 0.5000 0.5000 [1 per cell]  12 Ni 3.25
Ni 0.0000 0.0000 0.5000 [3 per cell]  2 Zr 2.30

ΔE to the lowest computed polymorph = 1.380 eV/atom
Energy relative to the elements = 1.15 eV/atom

=====

# 10
Density functional theory data (PBE) for a relaxed structure of Zr2Zn15Ni2.

Cell: 8.7211 8.7211 12.8904 Å, 90.00 90.00 120.00°
With the nearest neighbours (Å) after each atom.
Space group R-3m (No. 166, hexagonal axes)
Symmetry-distinct sites (fractional):
Zr 0.0000 0.0000 0.1715 [6 per cell]  1 Ni 2.85, 12 Zn 3.12-3.16
Zn 0.0000 0.2887 0.5000 [18 per cell]  8 Zn 2.51-2.74
Zn 0.0000 0.5000 0.0000 [9 per cell]  8 Zn 2.51-2.56, 2 Ni 2.63
Zn 0.0070 0.5035 0.6474 [18 per cell]  8 Zn 2.51-2.74, 1 Ni 2.76
Ni 0.0000 0.0000 0.3929 [6 per cell]  12 Zn 2.63-2.87, 1 Ni 2.76, 1 Zr 2.85

Energy relative to the elements = -0.15 eV/atom